LiPm2BO5 | Alexandria | PBE-GGA | relaxed; crystal system = orthorhombic; raw formation energy = -2.721 eV per atom; energy = -7.486 eV/atom
1.0
3.230 0.000 0.000
-1.615 6.598 0.000
0.000 0.000 9.827
Li Pm B O
2 4 2 10
Direct
0.812 0.625 0.531
0.188 0.375 0.031
0.862 0.724 0.834
0.123 0.246 0.678
0.138 0.276 0.334
0.877 0.754 0.178
0.560 0.121 0.909
0.440 0.879 0.409
0.341 0.683 0.018
0.664 0.328 0.883
0.499 0.997 0.789
0.295 0.590 0.695
0.971 0.942 0.487
0.659 0.317 0.518
0.336 0.672 0.383
0.501 0.003 0.289
0.705 0.410 0.195
0.029 0.058 0.987

***

Li3Pr2B3O9 | Alexandria | PBE-GGA | relaxed; crystal system = monoclinic; raw formation energy = -2.711 eV per atom; energy = -7.415 eV/atom
1.0
-2.756 -2.506 4.555
-0.320 -6.252 -6.417
12.422 -5.336 4.581
Li Pr B O
12 8 12 36
Direct
0.843 0.792 0.888
0.657 0.708 0.388
0.157 0.208 0.112
0.343 0.292 0.612
0.572 0.997 0.835
0.928 0.503 0.335
0.428 0.003 0.165
0.072 0.497 0.665
0.209 0.789 0.785
0.291 0.711 0.285
0.791 0.211 0.215
0.709 0.289 0.715
0.188 0.841 0.503
0.312 0.659 0.003
0.812 0.159 0.497
0.688 0.341 0.997
0.634 0.692 0.664
0.866 0.808 0.164
0.366 0.308 0.336
0.134 0.192 0.836
0.250 0.986 0.985
0.250 0.514 0.485
0.750 0.014 0.015
0.750 0.486 0.515
0.903 0.017 0.677
0.597 0.483 0.177
0.097 0.983 0.323
0.403 0.517 0.823
0.413 0.028 0.664
0.087 0.472 0.164
0.587 0.972 0.336
0.913 0.528 0.836
0.229 0.919 0.897
0.271 0.581 0.397
0.771 0.081 0.103
0.729 0.419 0.603
0.803 0.645 0.507
0.697 0.855 0.007
0.197 0.355 0.493
0.303 0.145 0.993
0.283 0.606 0.565
0.217 0.894 0.065
0.717 0.394 0.435
0.783 0.106 0.935
0.964 0.176 0.670
0.536 0.324 0.170
0.036 0.824 0.330
0.464 0.676 0.830
0.850 0.945 0.762
0.650 0.555 0.262
0.150 0.055 0.238
0.350 0.445 0.738
0.888 0.931 0.595
0.612 0.569 0.095
0.112 0.069 0.405
0.388 0.431 0.905
0.439 0.121 0.742
0.061 0.379 0.242
0.561 0.879 0.258
0.939 0.621 0.758
0.430 0.093 0.575
0.070 0.407 0.075
0.570 0.907 0.425
0.930 0.593 0.925
0.364 0.869 0.669
0.136 0.631 0.169
0.636 0.131 0.331
0.864 0.369 0.831

***

LiPr2B2O6 | Alexandria | PBE-GGA | relaxed; crystal system = monoclinic; raw formation energy = -2.706 eV per atom; energy = -7.667 eV/atom
1.0
-1.677 4.544 1.655
0.242 -3.989 3.279
5.541 2.637 -1.625
Li Pr B O
1 2 2 6
Direct
0.500 0.000 0.500
0.706 0.412 0.206
0.294 0.588 0.794
0.954 0.908 0.746
0.046 0.092 0.254
0.775 0.549 0.644
0.193 0.913 0.195
0.280 0.087 0.805
0.807 0.087 0.805
0.720 0.913 0.195
0.225 0.451 0.356

***

LiPr6B3O14 | Alexandria | PBE-GGA | relaxed; crystal system = monoclinic; raw formation energy = -3.064 eV per atom; energy = -8.066 eV/atom
1.0
-10.541 9.887 -7.331
-2.105 -6.436 -5.652
-8.727 -8.994 0.420
Li Pr B O
4 24 12 56
Direct
0.616 0.898 0.438
0.384 0.102 0.562
0.116 0.102 0.062
0.884 0.898 0.938
0.823 0.557 0.307
0.177 0.443 0.693
0.323 0.443 0.193
0.677 0.557 0.807
0.327 0.980 0.049
0.673 0.020 0.951
0.827 0.020 0.451
0.173 0.980 0.549
0.360 0.841 0.425
0.640 0.159 0.575
0.860 0.159 0.075
0.140 0.841 0.925
0.515 0.665 0.283
0.485 0.335 0.717
0.015 0.335 0.217
0.985 0.665 0.783
0.504 0.236 0.064
0.496 0.764 0.936
0.004 0.764 0.436
0.996 0.236 0.564
0.665 0.410 0.171
0.335 0.590 0.829
0.165 0.590 0.329
0.835 0.410 0.671
0.829 0.537 0.032
0.171 0.463 0.968
0.329 0.463 0.468
0.671 0.537 0.532
0.999 0.797 0.143
0.001 0.203 0.857
0.499 0.203 0.357
0.501 0.797 0.643
0.694 0.958 0.227
0.306 0.042 0.773
0.194 0.042 0.273
0.806 0.958 0.727
0.754 0.892 0.184
0.246 0.108 0.816
0.254 0.108 0.316
0.746 0.892 0.684
0.467 0.695 0.603
0.533 0.305 0.397
0.967 0.305 0.897
0.033 0.695 0.103
0.421 0.931 0.217
0.579 0.069 0.783
0.921 0.069 0.283
0.079 0.931 0.717
0.917 0.857 0.115
0.083 0.143 0.885
0.417 0.143 0.385
0.583 0.857 0.615
0.910 0.509 0.012
0.090 0.491 0.988
0.410 0.491 0.488
0.590 0.509 0.512
0.804 0.633 0.079
0.196 0.367 0.921
0.304 0.367 0.421
0.696 0.633 0.579
0.450 0.833 0.713
0.550 0.167 0.287
0.950 0.167 0.787
0.050 0.833 0.213
0.599 0.703 0.106
0.401 0.297 0.894
0.099 0.297 0.394
0.901 0.703 0.606
0.911 0.526 0.467
0.089 0.474 0.533
0.411 0.474 0.033
0.589 0.526 0.967
0.416 0.712 0.122
0.584 0.288 0.878
0.916 0.288 0.378
0.084 0.712 0.622
0.233 0.719 0.118
0.767 0.281 0.882
0.733 0.281 0.382
0.267 0.719 0.618
0.219 0.960 0.215
0.781 0.040 0.785
0.719 0.040 0.285
0.281 0.960 0.715
0.612 0.949 0.199
0.388 0.051 0.801
0.112 0.051 0.301
0.888 0.949 0.699
0.768 0.446 0.011
0.232 0.554 0.989
0.268 0.554 0.489
0.732 0.446 0.511

***

LiBPt2O | Alexandria | PBE-GGA | relaxed; crystal system = tetragonal; raw formation energy = 0.892 eV per atom; energy = -4.234 eV/atom
1.0
-0.013 4.195 1.225
-2.199 0.617 -2.137
-3.108 -0.870 2.947
B O Pt Li
1 1 2 1
Direct
0.500 0.500 0.500
0.000 0.500 0.000
0.000 0.000 0.500
0.500 0.000 0.000
0.000 0.000 0.000

***

LiPu2BO8 | Alexandria | PBE-GGA | relaxed; crystal system = orthorhombic; raw formation energy = -2.268 eV per atom; energy = -8.678 eV/atom
1.0
4.716 -0.427 -0.002
-0.376 4.721 -0.005
0.004 0.007 7.344
Li Pu B O
1 2 1 8
Direct
0.000 0.000 0.500
0.500 0.500 0.734
0.500 0.500 0.266
0.000 0.000 0.000
0.250 0.750 0.264
0.789 0.789 0.000
0.750 0.250 0.264
0.750 0.250 0.736
0.211 0.211 0.000
0.250 0.750 0.736
0.703 0.703 0.500
0.297 0.297 0.500

***

- Which value of raw formation energy does entry 5 give?
  0.892 eV per atom

***

- energy of number 3 (LiPr2B2O6)?
  -7.667 eV/atom

***

- Which value of energy does entry 3 give?
  -7.667 eV/atom

***

- Among the records above, which one has the highest raw formation energy?
  LiBPt2O